1.
The following is a PBE calculation of Pr8Ir3PtI3 after structural relaxation, from Alexandria via LeMat-Bulk.

Values from the calculation:
Uncorrected formation energy: -84.9 kJ/mol of atoms
ρ: 7.48 Mg/m³

Lattice parameters (Å, degrees): 8.526 8.516 9.431 116.80 89.97 120.04
Sites, in units of the cell vectors:
I1 0.000 0.500 0.000
Pr1 0.278 0.045 0.313
Ir1 0.500 0.000 0.500
Ir2 0.000 0.500 0.500
Pr2 0.768 0.045 0.313
Pt1 0.000 0.000 0.500
Pr3 0.271 0.542 0.313
I2 0.500 0.500 0.000
Pr4 0.722 0.955 0.687
Pr5 0.232 0.955 0.687
Ir3 0.500 0.500 0.500
Pr6 0.232 0.464 0.687
Pr7 0.729 0.458 0.687
Pr8 0.768 0.536 0.313
I3 0.000 0.000 0.000

***

2.
The following is a PBE calculation of YSc2Cr after structural relaxation, from Alexandria via LeMat-Bulk.

Values from the calculation:
Formation energy from the elements: 0.257 eV per atom
ρ: 4.12 Mg/m³
ΔE to the lowest computed polymorph: 79 meV per atom

Lattice parameters (Å, degrees): 5.174 5.174 5.174 123.09 123.09 84.73
Each line ends with the local moment (μB).
Sites, in units of the cell vectors:
Y1 0.500 0.500 0.000  -0.12
Sc1 0.250 0.750 0.500  -0.44
Sc2 0.000 0.000 0.000  -0.28
Cr1 0.750 0.250 0.500  3.27

***

3.
The following is a PBE calculation of TaVCuPt2 after structural relaxation, from Alexandria via LeMat-Bulk.

Values from the calculation:
Formation energy from the elements: 1.036 eV per atom
ρ: 11.71 Mg/m³

Lattice parameters (Å, degrees): 4.664 4.469 4.664 90.00 90.00 90.00
Sites, in units of the cell vectors:
Pt1 0.000 0.000 0.500
Ta1 0.000 0.500 0.000
Cu1 0.500 0.500 0.500
Pt2 0.500 0.000 0.000
V1 0.000 0.000 0.000

***

| no. | raw total energy (eV per cell) | total magnetic moment (μB per formula unit) |
| --- | --- | --- |
| 1 | -88.72 | 0.00 |
| 2 | -27.72 | 2.57 |
| 3 | -31.97 | 0.00 |